[1]
KY2Be (PBE, relaxed); total moment = 0.0 μB per cell; calculated volume = 124.5 Å³/f.u.; raw total energy = -3.925 eV per atom
1.0
-1.7032 3.0310 6.0287
1.7032 -3.0310 6.0287
1.7032 3.0310 -6.0287
K Y Be
1 2 1
direct
0.0000 0.0000 0.0000
0.3079 0.8079 0.5000
0.6921 0.1921 0.5000
0.5000 0.5000 0.0000

[2]
KY4Be (PBE, relaxed); total moment = 0.0 μB per cell; calculated volume = 203.1 Å³/f.u.; raw total energy = -4.267 eV per atom
1.0
0.0000 4.6657 4.6657
4.6657 0.0000 4.6657
4.6657 4.6657 0.0000
K Y Be
1 4 1
direct
0.0000 0.0000 0.0000
0.1312 0.6229 0.6229
0.6229 0.1312 0.6229
0.6229 0.6229 0.1312
0.6229 0.6229 0.6229
0.2500 0.2500 0.2500

[3]
K2YBe (PBE, relaxed); total moment = 0.4 μB per cell; calculated volume = 130.7 Å³/f.u.; raw total energy = -2.182 eV per atom
1.0
-2.8465 2.8465 4.0331
2.8465 -2.8465 4.0331
2.8465 2.8465 -4.0331
K Y Be
2 1 1
direct
0.0000 0.0000 0.0000
0.7500 0.2500 0.5000
0.2500 0.7500 0.5000
0.5000 0.5000 0.0000

[4]
K2YBe (PBE, relaxed); total moment = 0.0 μB per cell; calculated volume = 133.9 Å³/f.u.; raw total energy = -2.283 eV per atom
1.0
3.9368 0.0000 0.0000
0.0000 5.1941 0.0000
0.0000 0.0000 6.5491
K Y Be
2 1 1
direct
0.0000 0.0000 0.0000
0.5000 0.5000 0.0000
0.0000 0.5000 0.5000
0.5000 0.0000 0.5000